Model a:
VASP calculation (GGA-PBE) on a relaxed Pr2NdTm7 crystal.

The structure belongs to space group P-1 (No. 2); the cell edges are 5.579, 8.458 and 8.469 Å and the angles 115.84°, 103.20° and 101.09°. The asymmetric unit holds Pr at (0.149, 0.078, 0.224), Nd at (0.000, 0.500, 0.000), Tm at (0.000, 0.500, 0.500), Tm at (0.229, 0.897, 0.512), Tm at (0.431, 0.365, 0.681) and Tm at (0.487, 0.793, 0.992).

As for the density: 8091 kg/m³. The value obtained for the density of states at the Fermi level is 14.51 states/eV/cell.



Model b:
VASP calculation (GGA-PBE) on a relaxed Pr2NdTm7 crystal.

The structure belongs to space group Cmmm (No. 65); the cell edges are 6.472, 28.809 and 3.509 Å and the angles 90.00°, 90.00° and 90.00°. The asymmetric unit holds Pr at (0.000, 0.208, 0.000), Nd at (0.000, 0.500, 0.500), Tm at (0.000, 0.000, 0.000), Tm at (0.000, 0.316, 0.500) and Tm at (0.247, 0.401, 0.000).

As for the density: 8165 kg/m³. The value obtained for the density of states at the Fermi level is 33.63 states/eV/cell.



Most stable structure - model b; separation to the second - 5.2 kJ/mol of atoms.



Model a:
VASP calculation (GGA-PBE) on a relaxed PrNd4Tm3 crystal.

The structure belongs to space group Pmna (No. 53); the cell edges are 10.219, 7.219 and 7.211 Å and the angles 90.00°, 90.00° and 90.00°. The asymmetric unit holds Pr at (0.000, 0.000, 0.000), Nd at (0.000, 0.000, 0.500), Nd at (0.000, 0.500, 0.000), Nd at (0.250, 0.253, 0.250), Tm at (0.000, 0.500, 0.500) and Tm at (0.250, 0.253, 0.750).

As for the density: 7645 kg/m³. The value obtained for the density of states at the Fermi level is 21.82 states/eV/cell.



Model b:
VASP calculation (GGA-PBE) on a relaxed PrNd4Tm3 crystal.

The structure belongs to space group Pmn2_1 (No. 31); the cell edges are 11.607, 7.341 and 6.323 Å and the angles 90.00°, 90.00° and 90.00°. The asymmetric unit holds Pr at (0.000, 0.126, 0.000), Nd at (0.000, 0.370, 0.506), Nd at (0.000, 0.630, 0.992), Nd at (0.244, 0.626, 0.334), Tm at (0.000, 0.880, 0.499) and Tm at (0.250, 0.120, 0.333).

As for the density: 7549 kg/m³. The value obtained for the density of states at the Fermi level is 27.88 states/eV/cell.



Most stable structure - model a; separation to the second - 1.2 kJ/mol of atoms.



Model a:
VASP calculation (GGA-PBE) on a relaxed Pr12Nd6Tm crystal.

The structure belongs to space group R-3 (No. 148, hexagonal axes); the cell edges are 12.3908, 12.3908 and 15.4838 Å and the angles 90.00°, 90.00° and 120.00°. The asymmetric unit holds Pr at (0.0008, 0.8291, 0.1895), Pr at (0.0485, 0.8510, 0.4164), Nd at (0.0150, 0.4246, 0.6863) and Tm at (0.0000, 0.0000, 0.0000).

As for the density: 6594 kg/m³. The value obtained for the density of states at the Fermi level is 90.58 states/eV/cell.



Model b:
VASP calculation (GGA-PBE) on a relaxed Pr12Nd6Tm crystal.

The structure belongs to space group R-3m (No. 166, hexagonal axes); the cell edges are 16.6381, 16.6381 and 8.6916 Å and the angles 90.00°, 90.00° and 120.00°. The asymmetric unit holds Pr at (0.0000, 0.3798, 0.0000), Pr at (0.0947, 0.5473, 0.3181), Nd at (0.0836, 0.1671, 0.1458) and Tm at (0.0000, 0.0000, 0.5000).

As for the density: 6515 kg/m³. The value obtained for the density of states at the Fermi level is 94.92 states/eV/cell.



Most stable structure - model a; separation to the second - 16.4 kJ/mol of atoms.



Model a:
VASP calculation (GGA-PBE) on a relaxed Pr4Nd3Tm4 crystal.

The structure belongs to space group Immm (No. 71); the cell edges are 3.639, 5.108 and 39.758 Å and the angles 90.00°, 90.00° and 90.00°. The asymmetric unit holds Pr at (0.000, 0.000, 0.046), Pr at (0.000, 0.000, 0.317), Nd at (0.000, 0.000, 0.137), Nd at (0.000, 0.000, 0.500), Tm at (0.000, 0.000, 0.228) and Tm at (0.000, 0.000, 0.408).

As for the density: 7515 kg/m³. The value obtained for the density of states at the Fermi level is 30.00 states/eV/cell.



Model b:
VASP calculation (GGA-PBE) on a relaxed Pr4Nd3Tm4 crystal.

The structure belongs to space group Amm2 (No. 38); the cell edges are 10.844, 5.759 and 12.104 Å and the angles 90.00°, 90.00° and 90.00°. The asymmetric unit holds Pr at (0.000, 0.000, 0.000), Pr at (0.213, 0.000, 0.792), Pr at (0.500, 0.000, 0.923), Nd at (0.000, 0.000, 0.293), Nd at (0.287, 0.000, 0.454), Tm at (0.000, 0.000, 0.597), Tm at (0.306, 0.000, 0.147) and Tm at (0.500, 0.000, 0.649).

As for the density: 7347 kg/m³. The value obtained for the density of states at the Fermi level is 32.72 states/eV/cell.



Most stable structure - model a; separation to the second - 12.7 kJ/mol of atoms.



Model a:
VASP calculation (GGA-PBE) on a relaxed Pr2Nd2Tm7 crystal.

The structure belongs to space group C2/m (No. 12); the cell edges are 11.284, 11.602 and 6.075 Å and the angles 90.00°, 114.09° and 90.00°. The asymmetric unit holds Pr at (0.000, 0.208, 0.000), Nd at (0.100, 0.500, 0.313), Tm at (0.000, 0.000, 0.500), Tm at (0.172, 0.238, 0.676) and Tm at (0.235, 0.000, 0.075).

As for the density: 8018 kg/m³. The value obtained for the density of states at the Fermi level is 34.85 states/eV/cell.



Model b:
VASP calculation (GGA-PBE) on a relaxed Pr2Nd2Tm7 crystal.

The structure belongs to space group C2/m (No. 12); the cell edges are 8.902, 9.534 and 8.664 Å and the angles 90.00°, 101.23° and 90.00°. The asymmetric unit holds Pr at (0.155, 0.000, 0.407), Nd at (0.000, 0.320, 0.500), Tm at (0.000, 0.000, 0.000), Tm at (0.102, 0.500, 0.856) and Tm at (0.236, 0.317, 0.196).

As for the density: 8071 kg/m³. The value obtained for the density of states at the Fermi level is 35.27 states/eV/cell.



Most stable structure - model b; separation to the second - 2.4 kJ/mol of atoms.



Model a:
VASP calculation (GGA-PBE) on a relaxed Pr3Nd4Tm4 crystal.

The structure belongs to space group Amm2 (No. 38); the cell edges are 10.809, 5.761 and 12.112 Å and the angles 90.00°, 90.00° and 90.00°. The asymmetric unit holds Pr at (0.000, 0.000, 0.000), Pr at (0.289, 0.000, 0.160), Nd at (0.000, 0.000, 0.707), Nd at (0.214, 0.000, 0.498), Nd at (0.500, 0.000, 0.631), Tm at (0.000, 0.000, 0.304), Tm at (0.305, 0.000, 0.853) and Tm at (0.500, 0.000, 0.358).

As for the density: 7378 kg/m³. The value obtained for the density of states at the Fermi level is 33.21 states/eV/cell.



Model b:
VASP calculation (GGA-PBE) on a relaxed Pr3Nd4Tm4 crystal.

The structure belongs to space group Immm (No. 71); the cell edges are 3.635, 5.104 and 39.728 Å and the angles 90.00°, 90.00° and 90.00°. The asymmetric unit holds Pr at (0.000, 0.000, 0.000), Pr at (0.000, 0.000, 0.363), Nd at (0.000, 0.000, 0.184), Nd at (0.000, 0.000, 0.454), Tm at (0.000, 0.000, 0.092) and Tm at (0.000, 0.000, 0.272).

As for the density: 7548 kg/m³. The value obtained for the density of states at the Fermi level is 29.47 states/eV/cell.



Most stable structure - model b; separation to the second - 12.8 kJ/mol of atoms.



Model a:
VASP calculation (GGA-PBE) on a relaxed Pr6Nd3Tm crystal.

The structure belongs to space group C2/m (No. 12); the cell edges are 11.579, 6.967 and 9.247 Å and the angles 90.00°, 106.83° and 90.00°. The asymmetric unit holds Pr at (0.124, 0.000, 0.418), Pr at (0.191, 0.262, 0.802), Nd at (0.000, 0.500, 0.500), Nd at (0.075, 0.500, 0.167) and Tm at (0.000, 0.000, 0.000).

As for the density: 6730 kg/m³. The value obtained for the density of states at the Fermi level is 34.07 states/eV/cell.



Model b:
VASP calculation (GGA-PBE) on a relaxed Pr6Nd3Tm crystal.

The structure belongs to space group Cmc2_1 (No. 36); the cell edges are 11.072, 19.524 and 6.574 Å and the angles 90.00°, 90.00° and 90.00°. The asymmetric unit holds Pr at (0.000, 0.034, 0.000), Pr at (0.000, 0.278, 0.210), Pr at (0.171, 0.458, 0.307), Pr at (0.231, 0.291, 0.500), Nd at (0.000, 0.385, 0.785), Nd at (0.173, 0.117, 0.401) and Tm at (0.000, 0.191, 0.752).

As for the density: 6764 kg/m³. The value obtained for the density of states at the Fermi level is 52.19 states/eV/cell.



Most stable structure - model b; separation to the second - 7.2 kJ/mol of atoms.



Model a:
VASP calculation (GGA-PBE) on a relaxed Pr7NdTm12 crystal.

The structure belongs to space group R-3 (No. 148, hexagonal axes); the cell edges are 11.9800, 11.9800 and 16.2250 Å and the angles 90.00°, 90.00° and 120.00°. The asymmetric unit holds Pr at (0.0000, 0.0000, 0.0000), Pr at (0.0508, 0.1878, 0.2899), Nd at (0.0000, 0.0000, 0.5000), Tm at (0.0196, 0.4454, 0.2199) and Tm at (0.0505, 0.5870, 0.5837).

As for the density: 7801 kg/m³. The value obtained for the density of states at the Fermi level is 110.55 states/eV/cell.



Model b:
VASP calculation (GGA-PBE) on a relaxed Pr7NdTm12 crystal.

The structure belongs to space group Im-3m (No. 229); the cell edges are 11.255, 11.255 and 11.255 Å and the angles 90.00°, 90.00° and 90.00°. The asymmetric unit holds Pr at (0.000, 0.000, 0.500), Pr at (0.250, 0.250, 0.250), Nd at (0.000, 0.000, 0.000) and Tm at (0.000, 0.249, 0.249).

As for the density: 7357 kg/m³. The value obtained for the density of states at the Fermi level is 58.40 states/eV/cell.



Most stable structure - model a; separation to the second - 39.7 kJ/mol of atoms.



Model a:
VASP calculation (GGA-PBE) on a relaxed Pr2Nd2Tm crystal.

The structure belongs to space group Cmcm (No. 63); the cell edges are 6.991, 16.402 and 6.376 Å and the angles 90.00°, 90.00° and 90.00°. The asymmetric unit holds Pr at (0.000, 0.094, 0.250), Pr at (0.000, 0.330, 0.750), Nd at (0.238, 0.332, 0.250) and Tm at (0.000, 0.500, 0.000).

As for the density: 6716 kg/m³. The value obtained for the density of states at the Fermi level is 29.67 states/eV/cell.



Model b:
VASP calculation (GGA-PBE) on a relaxed Pr2Nd2Tm crystal.

The structure belongs to space group P2_1/m (No. 11); the cell edges are 7.159, 5.271 and 10.288 Å and the angles 90.00°, 108.09° and 90.00°. The asymmetric unit holds Pr at (0.116, 0.250, 0.443), Pr at (0.135, 0.250, 0.112), Nd at (0.371, 0.750, 0.015), Nd at (0.399, 0.750, 0.646) and Tm at (0.113, 0.250, 0.775).

As for the density: 6652 kg/m³. The value obtained for the density of states at the Fermi level is 13.75 states/eV/cell.



Most stable structure - model b; separation to the second - 1.5 kJ/mol of atoms.